Entry 1:
Below is a geometry-optimized Li2ScIn3 structure, with properties calculated at the PBE level.

Space group: P4/mmm, No. 123
Density (g cm⁻³): 5.5
E (eV/atom): -3.392
Volume (Å³/atom): 20.369

Cell lengths 3.436, 3.436, 10.349 Å; angles 90.00, 90.00, 90.00 degrees
Atoms (fractional coordinates):
Li: 0.000 0.000 0.156
Li: 0.000 0.000 0.844
Sc: 0.000 0.000 0.500
In: 0.500 0.500 0.000
In: 0.500 0.500 0.312
In: 0.500 0.500 0.688

---

Entry 2:
Below is a geometry-optimized LiScIn2 structure, with properties calculated at the PBE level.

Space group: P4mm, No. 99
Density (g cm⁻³): 5.2
E (eV/atom): -3.570
Volume (Å³/atom): 22.591

Cell lengths 3.763, 3.763, 6.381 Å; angles 90.00, 90.00, 90.00 degrees
Atoms (fractional coordinates):
Li: 0.000 0.000 0.000
Sc: 0.500 0.500 0.269
In: 0.000 0.000 0.501
In: 0.500 0.500 0.790

---

Entry 3:
Below is a geometry-optimized Li2ScIn2 structure, with properties calculated at the PBE level.

Space group: I4/mmm, No. 139
Density (g cm⁻³): 4.8
E (eV/atom): -3.454
Volume (Å³/atom): 19.867

Cell lengths 3.257, 3.257, 18.725 Å; angles 90.00, 90.00, 90.00 degrees
Atoms (fractional coordinates):
Li: 0.000 0.000 0.208
Li: 0.000 0.000 0.792
Li: 0.500 0.500 0.292
Li: 0.500 0.500 0.708
Sc: 0.000 0.000 0.000
Sc: 0.500 0.500 0.500
In: 0.000 0.000 0.384
In: 0.000 0.000 0.616
In: 0.500 0.500 0.116
In: 0.500 0.500 0.884

---

Entry 4:
Below is a geometry-optimized LiScIn2 structure, with properties calculated at the PBE level.

Space group: Immm, No. 71
Density (g cm⁻³): 4.7
E (eV/atom): -3.254
Volume (Å³/atom): 24.657

Cell lengths 3.306, 5.246, 11.374 Å; angles 90.00, 90.00, 90.00 degrees
Atoms (fractional coordinates):
Li: 0.000 0.000 0.000
Li: 0.500 0.500 0.500
Sc: 0.000 0.000 0.500
Sc: 0.500 0.500 0.000
In: 0.000 0.000 0.229
In: 0.000 0.000 0.771
In: 0.500 0.500 0.271
In: 0.500 0.500 0.729

---

Result set for formation energy: -0.329, -0.140, -0.327, 0.177 eV/atom, one per record in the order listed.